No. 1
DFT (GGA-PBE) results for a geometry-optimized Np2IrN structure.

Output
The crystal system is trigonal. The value obtained for the calculated total energy is -45.01 eV per formula unit. The energy above the lowest structure with this stoichiometry comes out at 0 meV per atom. Its density of states at the Fermi level is 2.64 states/eV/atom.

Unit cell a=6.8701 b=6.8701 c=6.8701 alpha=30.02 beta=30.02 gamma=30.02
Closest atoms and distances in Å follow each position.
Positions (direct):
Np 0.2362 0.2362 0.2362  3 N 2.47
Np 0.7638 0.7638 0.7638  3 N 2.47
Ir 0.0000 0.0000 0.0000  6 Np 2.81
N 0.5000 0.5000 0.5000  6 Np 2.47

---

No. 2
DFT (GGA-PBE) results for a geometry-optimized ScFePd2Se structure.

Output
The crystal system is tetragonal. The value obtained for the calculated total energy is -27.20 eV per formula unit. Its density of states at the Fermi level is 0.68 states/eV/atom.

Unit cell a=4.5952 b=4.5952 c=4.7944 alpha=90.00 beta=90.00 gamma=90.00
Closest atoms and distances in Å follow each position.
Positions (direct):
Sc 0.0000 0.0000 0.0000  2 Fe 2.40
Fe 0.0000 0.0000 0.5000  4 Pd 2.30, 2 Sc 2.40
Pd 0.0000 0.5000 0.5000  2 Fe 2.30
Pd 0.5000 0.0000 0.5000  2 Fe 2.30
Se 0.5000 0.5000 0.0000  4 Sc 3.25, 8 Pd 3.32

---

No. 3
DFT (GGA-PBE) results for a geometry-optimized FeHg2Ru structure.

Output
The crystal system is cubic. The value obtained for the calculated total energy is -15.84 eV per formula unit. The energy above the lowest structure with this stoichiometry comes out at 294 meV per atom. As for the energy of formation: 0.626 eV per atom. Its density of states at the Fermi level is 0.93 states/eV/atom.

Unit cell a=4.6063 b=4.6063 c=4.6063 alpha=60.00 beta=60.00 gamma=60.00
Closest atoms and distances in Å follow each position.
Positions (direct):
Fe 0.0000 0.0000 0.0000  4 Hg 2.82, 4 Ru 2.82
Hg 0.2500 0.2500 0.2500  4 Hg 2.82, 4 Fe 2.82
Hg 0.5000 0.5000 0.5000  4 Hg 2.82, 4 Ru 2.82
Ru 0.7500 0.7500 0.7500  4 Hg 2.82, 4 Fe 2.82

---

No. 4
DFT (GGA-PBE) results for a geometry-optimized AcCdIr4 structure.

Output
The crystal system is cubic. The value obtained for the calculated total energy is -41.57 eV per formula unit. As for the energy of formation: -0.184 eV per atom. Its density of states at the Fermi level is 1.47 states/eV/atom.

Unit cell a=5.4525 b=5.4525 c=5.4525 alpha=60.00 beta=60.00 gamma=60.00
Closest atoms and distances in Å follow each position.
Positions (direct):
Ac 0.0000 0.0000 0.0000  12 Ir 3.20, 4 Cd 3.34
Cd 0.2500 0.2500 0.2500  12 Ir 3.20, 4 Ac 3.34
Ir 0.1268 0.6244 0.6244  6 Ir 2.71-2.74
Ir 0.6244 0.1268 0.6244  6 Ir 2.71-2.74
Ir 0.6244 0.6244 0.1268  6 Ir 2.71-2.74
Ir 0.6244 0.6244 0.6244  6 Ir 2.71-2.74

---

Question: Which formula does entry 4 have?
Answer: AcCdIr4